one | Compound: CdAsOsO
Source: the Open Quantum Materials Database
Functional: PBE-GGA
Structure: relaxed

- theoretical density (g/cm³) = 9.8
- space-group type = No. 129

a b c (Å): 4.0364 4.0364 8.2105
angles (deg): 90.00 90.00 90.00
Fractional coordinates of all 8 atoms:
Os (0.7500, 0.2500, 0.5000)
Os (0.2500, 0.7500, 0.5000)
O (0.2500, 0.7500, 0.0000)
O (0.7500, 0.2500, 0.0000)
Cd (0.7500, 0.7500, 0.8881)
Cd (0.2500, 0.2500, 0.1119)
As (0.7500, 0.7500, 0.3200)
As (0.2500, 0.2500, 0.6800)

two | Compound: CdAsOsO
Source: the Open Quantum Materials Database
Functional: PBE-GGA
Structure: relaxed

- theoretical density (g/cm³) = 8.6
- space-group type = No. 7

a b c (Å): 3.7680 6.3481 6.3891
angles (deg): 89.96 89.99 89.52
Fractional coordinates of all 8 atoms:
O (0.5000, 0.5590, 0.7500)
O (0.5001, 0.0593, 0.2521)
As (0.0015, 0.6823, 0.3735)
As (0.0015, 0.1820, 0.6288)
Cd (0.5044, 0.4559, 0.1430)
Cd (0.5044, 0.9554, 0.8593)
Os (0.0004, 0.5530, 0.7305)
Os (0.0004, 0.0534, 0.2718)

Which structure loses on stability? two does.

one | Compound: PaCdAsO
Source: the Open Quantum Materials Database
Functional: PBE-GGA
Structure: relaxed

- theoretical density (g/cm³) = 9.2
- space-group type = No. 129

a b c (Å): 4.0223 4.0223 9.6464
angles (deg): 90.00 90.00 90.00
Each line ends with the local moment (μB).
Fractional coordinates of all 8 atoms:
Cd (0.5000, 0.5000, 0.5000)  0.01
Cd (0.0000, 0.0000, 0.5000)  0.01
As (0.0000, 0.5000, 0.2714)  0.00
As (0.5000, 0.0000, 0.7286)  0.00
Pa (0.0000, 0.5000, 0.8633)  1.01
Pa (0.5000, 0.0000, 0.1367)  1.01
O (0.0000, 0.0000, 0.0000)  -0.03
O (0.5000, 0.5000, 0.0000)  -0.03

two | Compound: PaCdAsO
Source: the Open Quantum Materials Database
Functional: PBE-GGA
Structure: relaxed

- theoretical density (g/cm³) = 8.3
- space-group type = No. 129

a b c (Å): 5.9930 5.9930 4.8557
angles (deg): 90.00 90.00 90.00
Fractional coordinates of all 8 atoms:
As (0.7500, 0.7500, 0.4935)
As (0.2500, 0.2500, 0.5065)
Cd (0.2500, 0.2500, 0.0063)
Cd (0.7500, 0.7500, 0.9937)
O (0.7500, 0.2500, 0.0000)
O (0.2500, 0.7500, 0.0000)
Pa (0.2500, 0.7500, 0.5000)
Pa (0.7500, 0.2500, 0.5000)

Which structure loses on stability? two does.